# 1
Pm3NdRh | PBE | optimized geometry

The structure in CIF format:
```
data_Pm3NdRh
_chemical_formula_sum 'Pm3 Nd1 Rh1'
_space_group_name_H-M_alt 'P m -3 m'
_space_group_IT_number 221
_space_group_name_Hall '-P 4 2 3'
_cell_length_a 5.565
_cell_length_b 5.565
_cell_length_c 5.565
_cell_angle_alpha 90.00
_cell_angle_beta 90.00
_cell_angle_gamma 90.00
loop_
_atom_site_label
_atom_site_fract_x
_atom_site_fract_y
_atom_site_fract_z
Pm1 0.000 0.000 0.500
Nd1 0.500 0.500 0.500
Rh1 0.000 0.000 0.000
```

Results
Volume: 172 Å³/f.u.
Formation enthalpy at 0 K: -15.3 kJ per mole of atoms
Magnetization: 1.431 μB/f.u.
Offset from the most stable computed form: 0.098 eV/atom

***

# 2
Pm2Nd2Rh3 | PBE | optimized geometry

The structure in CIF format:
```
data_Pm2Nd2Rh3
_chemical_formula_sum 'Pm2 Nd2 Rh3'
_space_group_name_H-M_alt 'P -1'
_space_group_IT_number 2
_space_group_name_Hall '-P 1'
_cell_length_a 4.184
_cell_length_b 6.960
_cell_length_c 7.077
_cell_angle_alpha 99.21
_cell_angle_beta 90.05
_cell_angle_gamma 107.46
loop_
_atom_site_label
_atom_site_fract_x
_atom_site_fract_y
_atom_site_fract_z
Pm1 0.126 0.253 0.391
Nd1 0.366 0.733 0.137
Rh1 0.261 0.521 0.756
Rh2 0.500 0.000 0.500
```

Results
Volume: 194 Å³/f.u.
Formation enthalpy at 0 K: -54.1 kJ per mole of atoms
Magnetization: 0.000 μB/f.u.
Offset from the most stable computed form: 0.081 eV/atom

***

# 3
PmNdRh4 | PBE | optimized geometry

The structure in CIF format:
```
data_PmNdRh4
_chemical_formula_sum 'Pm4 Nd4 Rh16'
_space_group_name_H-M_alt 'F -4 3 m'
_space_group_IT_number 216
_space_group_name_Hall 'F -4 2 3'
_cell_length_a 7.650
_cell_length_b 7.650
_cell_length_c 7.650
_cell_angle_alpha 90.00
_cell_angle_beta 90.00
_cell_angle_gamma 90.00
loop_
_atom_site_label
_atom_site_fract_x
_atom_site_fract_y
_atom_site_fract_z
Pm1 0.000 0.000 0.000
Nd1 0.250 0.250 0.250
Rh1 0.125 0.125 0.625
```

Results
Volume: 112 Å³/f.u.
Formation enthalpy at 0 K: -64.2 kJ per mole of atoms
Magnetization: 0.000 μB/f.u.

***

# 4
Pm3NdRh3 | PBE | optimized geometry

The structure in CIF format:
```
data_Pm3NdRh3
_chemical_formula_sum 'Pm18 Nd6 Rh18'
_space_group_name_H-M_alt 'R -3'
_space_group_IT_number 148
_space_group_name_Hall '-R 3'
_cell_length_a 8.7191
_cell_length_b 8.7191
_cell_length_c 16.8071
_cell_angle_alpha 90.00
_cell_angle_beta 90.00
_cell_angle_gamma 120.00
loop_
_atom_site_label
_atom_site_fract_x
_atom_site_fract_y
_atom_site_fract_z
Pm1 0.0171 0.2756 0.0999
Nd1 0.0000 0.0000 0.3248
Rh1 0.0065 0.3757 0.9358
```

Results
Volume: 184 Å³/f.u.
Formation enthalpy at 0 K: -58.4 kJ per mole of atoms
Magnetization: 0.000 μB/f.u.
Offset from the most stable computed form: 0.000 eV/atom

***

# 5
Pm4Nd3Rh4 | PBE | optimized geometry

The structure in CIF format:
```
data_Pm4Nd3Rh4
_chemical_formula_sum 'Pm8 Nd6 Rh8'
_space_group_name_H-M_alt 'I m m m'
_space_group_IT_number 71
_space_group_name_Hall '-I 2 2'
_cell_length_a 3.870
_cell_length_b 9.083
_cell_length_c 16.264
_cell_angle_alpha 90.00
_cell_angle_beta 90.00
_cell_angle_gamma 90.00
loop_
_atom_site_label
_atom_site_fract_x
_atom_site_fract_y
_atom_site_fract_z
Pm1 0.000 0.188 0.166
Nd1 0.000 0.000 0.400
Nd2 0.000 0.500 0.500
Rh1 0.000 0.275 0.000
Rh2 0.000 0.500 0.249
```

Results
Volume: 286 Å³/f.u.
Formation enthalpy at 0 K: -48.0 kJ per mole of atoms
Magnetization: 0.000 μB/f.u.

***

# 6
PmNdRh | PBE | optimized geometry

The structure in CIF format:
```
data_PmNdRh
_chemical_formula_sum 'Pm6 Nd6 Rh6'
_space_group_name_H-M_alt 'P -6 2 c'
_space_group_IT_number 190
_space_group_name_Hall 'P -6c -2c'
_cell_length_a 7.5405
_cell_length_b 7.5405
_cell_length_c 9.7131
_cell_angle_alpha 90.00
_cell_angle_beta 90.00
_cell_angle_gamma 120.00
loop_
_atom_site_label
_atom_site_fract_x
_atom_site_fract_y
_atom_site_fract_z
Pm1 0.0058 0.6005 0.2500
Nd1 0.0000 0.2675 0.0000
Rh1 0.0000 0.0000 0.2500
Rh2 0.3333 0.6667 0.0108
```

Results
Volume: 80 Å³/f.u.
Formation enthalpy at 0 K: -46.2 kJ per mole of atoms
Magnetization: 0.000 μB/f.u.
Offset from the most stable computed form: 0.000 eV/atom

***

The highest volume belongs to which entry?
Pm4Nd3Rh4